VASP calculation (PBE-GGA) on a relaxed structure of ZrTaAs4.

Results
- raw total energy (hartree per atom) = -0.225
- Fermi-level density of states (states/eV/cell) = 19.7

```
data_ZrTaAs4
_chemical_formula_sum 'Zr4 Ta4 As16'
_space_group_name_H-M_alt 'F -4 3 m'
_space_group_IT_number 216
_space_group_name_Hall 'F -4 2 3'
_cell_length_a 7.703
_cell_length_b 7.703
_cell_length_c 7.703
_cell_angle_alpha 90.00
_cell_angle_beta 90.00
_cell_angle_gamma 90.00
loop_
_atom_site_label
_atom_site_type_symbol
_atom_site_fract_x
_atom_site_fract_y
_atom_site_fract_z
Zr1 Zr 0.000 0.000 0.000
Ta1 Ta 0.250 0.250 0.250
As1 As 0.125 0.125 0.625
```